# 1
## KHoS2 (PBE)

Data for KHoS2 after structural relaxation.

Structure (POSCAR):
```
KHoS2
1.0
2.0179 1.1650 7.3640
-2.0179 1.1650 7.3640
0.0000 -2.3300 7.3640
K Ho S
1 1 2
direct
0.0000 0.0000 0.0000 K
0.5000 0.5000 0.5000 Ho
0.2336 0.2336 0.2336 S
0.7664 0.7664 0.7664 S
```

Results
ΔE_f (raw)   -1.890 eV per atom
Magnetization   0.0 μB per cell

***

# 2
## MnWBr2 (PBE)

Data for MnWBr2 after structural relaxation.

Structure (POSCAR):
```
MnWBr2
1.0
3.0950 0.0000 0.0000
0.0000 4.3783 0.0000
-1.5016 0.0000 5.9186
Mn W Br
1 1 2
direct
0.0000 0.0000 0.0000 Mn
0.5000 0.0000 0.5000 W
0.4147 0.5000 0.2523 Br
0.5853 0.5000 0.7477 Br
```

Results
ΔE_f (raw)   0.820 eV per atom
Energy above the lowest structure with this stoichiometry   664 meV per atom
Magnetization   4.6 μB per cell

***

# 3
## AsOs3 (PBE)

Data for AsOs3 after structural relaxation.

Structure (POSCAR):
```
AsOs3
1.0
2.9241 -3.5706 0.0000
2.9241 3.5706 0.0000
0.0000 0.0000 2.8221
As Os
1 3
direct
0.0000 0.0000 0.0000 As
0.0000 0.5000 0.5000 Os
0.5000 0.0000 0.5000 Os
0.5000 0.5000 0.0000 Os
```

Results
Energy above the lowest structure with this stoichiometry   327 meV per atom
Magnetization   0.0 μB per cell
ΔE_f   0.578 eV/atom

***

# 4
## Ce4Se3Cl2 (PBE)

Data for Ce4Se3Cl2 after structural relaxation.

Structure (POSCAR):
```
Ce4Se3Cl2
1.0
6.8910 -2.0721 0.0000
6.8910 2.0721 0.0000
-5.2762 0.0000 8.8318
Ce Se Cl
4 3 2
direct
0.1030 0.1030 0.4062 Ce
0.2974 0.2974 0.2056 Ce
0.7026 0.7026 0.7944 Ce
0.8970 0.8970 0.5938 Ce
0.3133 0.3133 0.7167 Se
0.5000 0.5000 0.5000 Se
0.6867 0.6867 0.2833 Se
0.1052 0.1052 0.8965 Cl
0.8948 0.8948 0.1035 Cl
```

Results
ΔE_f (raw)   -1.804 eV per atom
Magnetization   4.4 μB per cell

***

# 5
## K5Hg6Au (PBE)

Data for K5Hg6Au after structural relaxation.

Structure (POSCAR):
```
K5Hg6Au
1.0
4.5775 -8.5571 0.0000
4.5775 8.5571 0.0000
-2.3603 0.0000 5.7890
K Hg Au
5 6 1
direct
0.0000 0.0000 0.0000 K
0.1929 0.8071 0.5000 K
0.3885 0.6115 0.0000 K
0.6115 0.3885 0.0000 K
0.8071 0.1929 0.5000 K
0.0032 0.6300 0.8857 Hg
0.2026 0.2026 0.5825 Hg
0.3700 0.9968 0.1143 Hg
0.6300 0.0032 0.8857 Hg
0.7974 0.7974 0.4175 Hg
0.9968 0.3700 0.1143 Hg
0.5000 0.5000 0.5000 Au
```

Results
Magnetization   0.0 μB per cell
ΔE_f   -0.194 eV/atom

***

# 6
## MgCoRu (PBE)

Data for MgCoRu after structural relaxation.

Structure (POSCAR):
```
MgCoRu
1.0
-1.3663 1.3663 5.6369
1.3663 -1.3663 5.6369
1.3663 1.3663 -5.6369
Mg Co Ru
1 1 1
direct
0.0000 0.0000 0.0000 Mg
0.3248 0.3248 0.0000 Co
0.6891 0.6891 0.0000 Ru
```

Results
Energy above the lowest structure with this stoichiometry   0 meV per atom
Magnetization   0.4 μB per cell
ΔE_f   0.101 eV/atom

***

# 7
## Na2In5Au6 (PBE)

Data for Na2In5Au6 after structural relaxation.

Structure (POSCAR):
```
Na2In5Au6
1.0
9.4495 0.0000 0.0000
0.0000 9.4495 0.0000
0.0000 0.0000 9.4495
Na In Au
6 15 18
direct
0.0000 0.3275 0.5000 Na
0.0000 0.6725 0.5000 Na
0.3275 0.5000 0.0000 Na
0.5000 0.0000 0.3275 Na
0.5000 0.0000 0.6725 Na
0.6725 0.5000 0.0000 Na
0.0000 0.5000 0.1649 In
0.0000 0.5000 0.8351 In
0.1649 0.0000 0.5000 In
0.2159 0.2159 0.2159 In
0.2159 0.2159 0.7841 In
0.2159 0.7841 0.2159 In
0.2159 0.7841 0.7841 In
0.5000 0.1649 0.0000 In
0.5000 0.5000 0.5000 In
0.5000 0.8351 0.0000 In
0.7841 0.2159 0.2159 In
0.7841 0.2159 0.7841 In
0.7841 0.7841 0.2159 In
0.7841 0.7841 0.7841 In
0.8351 0.0000 0.5000 In
0.0000 0.0000 0.2400 Au
0.0000 0.0000 0.7600 Au
0.0000 0.2400 0.0000 Au
0.0000 0.7600 0.0000 Au
0.2400 0.0000 0.0000 Au
0.2404 0.5000 0.3275 Au
0.2404 0.5000 0.6725 Au
0.3275 0.2404 0.5000 Au
0.3275 0.7596 0.5000 Au
0.5000 0.3275 0.2404 Au
0.5000 0.3275 0.7596 Au
0.5000 0.6725 0.2404 Au
0.5000 0.6725 0.7596 Au
0.6725 0.2404 0.5000 Au
0.6725 0.7596 0.5000 Au
0.7600 0.0000 0.0000 Au
0.7596 0.5000 0.3275 Au
0.7596 0.5000 0.6725 Au
```

Results
Magnetization   0.0 μB per cell
ΔE_f   -0.280 eV/atom

***

# 8
## Sr2MgH6 (PBE)

Data for Sr2MgH6 after structural relaxation.

Structure (POSCAR):
```
Sr2MgH6
1.0
5.1370 0.0000 0.0000
0.0000 5.1370 0.0000
0.0000 0.0000 10.8202
Sr Mg H
4 2 12
direct
0.0000 0.0000 0.1648 Sr
0.0000 0.0000 0.8352 Sr
0.5000 0.5000 0.3352 Sr
0.5000 0.5000 0.6648 Sr
0.0000 0.0000 0.5000 Mg
0.5000 0.5000 0.0000 Mg
0.1744 0.1744 0.3554 H
0.1744 0.1744 0.6446 H
0.2256 0.2256 0.0000 H
0.2744 0.7256 0.5000 H
0.3256 0.6744 0.1446 H
0.3256 0.6744 0.8554 H
0.6744 0.3256 0.1446 H
0.6744 0.3256 0.8554 H
0.7256 0.2744 0.5000 H
0.7744 0.7744 0.0000 H
0.8256 0.8256 0.3554 H
0.8256 0.8256 0.6446 H
```

Results
Magnetization   0.0 μB per cell
Raw total energy   -3.12 eV per atom

***

# 9
## YBe2Mo (PBE)

Data for YBe2Mo after structural relaxation.

Structure (POSCAR):
```
YBe2Mo
1.0
-2.0953 2.0953 8.3073
2.0953 -2.0953 8.3073
2.0953 2.0953 -8.3073
Y Be Mo
2 4 2
direct
0.0000 0.0000 0.0000 Y
0.7500 0.2500 0.5000 Y
0.3684 0.6250 0.2434 Be
0.3750 0.6184 0.7434 Be
0.3816 0.1250 0.7566 Be
0.8750 0.6316 0.2566 Be
0.2500 0.7500 0.5000 Mo
0.5000 0.5000 0.0000 Mo
```

Results
Energy above the lowest structure with this stoichiometry   556 meV per atom
Magnetization   0.0 μB per cell
ΔE_f   0.616 eV/atom

***

# 10
## Er2Rh4C (PBE)

Data for Er2Rh4C after structural relaxation.

Structure (POSCAR):
```
Er2Rh4C
1.0
-2.0559 2.0559 7.0527
2.0559 -2.0559 7.0527
2.0559 2.0559 -7.0527
Er Rh C
2 4 1
direct
0.1563 0.1563 0.0000 Er
0.8437 0.8437 0.0000 Er
0.0000 0.5000 0.5000 Rh
0.3547 0.3547 0.0000 Rh
0.5000 0.0000 0.5000 Rh
0.6453 0.6453 0.0000 Rh
0.5000 0.5000 0.0000 C
```

Results
Magnetization   0.0 μB per cell
ΔE_f   -0.462 eV/atom

***

# 11
## KUF4 (PBE)

Data for KUF4 after structural relaxation.

Structure (POSCAR):
```
KUF4
1.0
-4.0047 4.0047 4.0065
4.0047 -4.0047 4.0065
4.0047 4.0047 -4.0065
K U F
2 2 8
direct
0.0000 0.0000 0.0000 K
0.7500 0.2500 0.5000 K
0.2418 0.7418 0.5000 U
0.4918 0.4918 0.0000 U
0.0321 0.3486 0.3164 F
0.0321 0.7157 0.6836 F
0.0986 0.2821 0.8164 F
0.4657 0.2821 0.1836 F
0.4669 0.1694 0.7026 F
0.4669 0.7643 0.2974 F
0.5143 0.7169 0.7974 F
0.9194 0.7169 0.2026 F
```

Results
ΔE_f (raw)   -3.160 eV per atom
Energy above the lowest structure with this stoichiometry   71 meV per atom
Magnetization   6.0 μB per cell

***

# 12
## Zn2TeIr (PBE)

Data for Zn2TeIr after structural relaxation.

Structure (POSCAR):
```
Zn2TeIr
1.0
1.6248 0.9381 8.2576
-1.6248 0.9381 8.2576
0.0000 -1.8762 8.2576
Zn Te Ir
2 1 1
direct
0.0000 0.0000 0.0000 Zn
0.2562 0.2562 0.2562 Zn
0.7697 0.7697 0.7697 Te
0.5135 0.5135 0.5135 Ir
```

Results
ΔE_f (raw)   0.224 eV per atom
Magnetization   0.0 μB per cell

***

# 13
## K2SrPuCl6 (PBE)

Data for K2SrPuCl6 after structural relaxation.

Structure (POSCAR):
```
K2SrPuCl6
1.0
7.5364 0.0000 0.0000
0.0000 7.9349 0.0000
-7.4997 0.0000 10.8482
K Sr Pu Cl
4 2 2 12
direct
0.2241 0.0703 0.2496 K
0.2241 0.4297 0.7496 K
0.7759 0.5703 0.2504 K
0.7759 0.9297 0.7504 K
0.5000 0.0000 0.0000 Sr
0.5000 0.5000 0.5000 Sr
0.0000 0.0000 0.5000 Pu
0.0000 0.5000 0.0000 Pu
0.1283 0.2009 0.9355 Cl
0.1283 0.2991 0.4355 Cl
0.2376 0.6986 0.9348 Cl
0.2376 0.8014 0.4348 Cl
0.3710 0.0498 0.7479 Cl
0.3710 0.4502 0.2479 Cl
0.6290 0.5498 0.7521 Cl
0.6290 0.9502 0.2521 Cl
0.7624 0.1986 0.5652 Cl
0.7624 0.3014 0.0652 Cl
0.8717 0.7009 0.5645 Cl
0.8717 0.7991 0.0645 Cl
```

Results
ΔE_f (raw)   -2.034 eV per atom
Magnetization   12.0 μB per cell

***

# 14
## Ho3Mg2In (PBE)

Data for Ho3Mg2In after structural relaxation.

Structure (POSCAR):
```
Ho3Mg2In
1.0
3.7775 0.0000 0.0000
0.0000 3.7775 0.0000
0.0000 0.0000 11.2061
Ho Mg In
3 2 1
direct
0.0000 0.0000 0.0000 Ho
0.0000 0.0000 0.3332 Ho
0.0000 0.0000 0.6668 Ho
0.5000 0.5000 0.1648 Mg
0.5000 0.5000 0.8352 Mg
0.5000 0.5000 0.5000 In
```

Results
Energy above the lowest structure with this stoichiometry   14 meV per atom
Magnetization   0.0 μB per cell
ΔE_f   -0.215 eV/atom

***

# 15
## LaAlCr2 (PBE)

Data for LaAlCr2 after structural relaxation.

Structure (POSCAR):
```
LaAlCr2
1.0
3.3908 0.0000 0.0000
0.0000 3.3908 0.0000
0.0000 0.0000 6.5339
La Al Cr
1 1 2
direct
0.0000 0.0000 0.0000 La
0.0000 0.0000 0.5000 Al
0.5000 0.5000 0.3480 Cr
0.5000 0.5000 0.6520 Cr
```

Results
Magnetization   0.0 μB per cell
ΔE_f   0.258 eV/atom

***

# 16
## Ac2La8Er (PBE)

Data for Ac2La8Er after structural relaxation.

Structure (POSCAR):
```
Ac2La8Er
1.0
4.7143 -8.6870 0.0000
4.7143 8.6870 0.0000
-3.5288 0.0000 5.1035
Ac La Er
2 8 1
direct
0.1914 0.8086 0.0000 Ac
0.8086 0.1914 0.0000 Ac
0.0813 0.0813 0.3006 La
0.1734 0.4017 0.8130 La
0.2996 0.7004 0.5000 La
0.4017 0.1734 0.8130 La
0.5983 0.8266 0.1870 La
0.7004 0.2996 0.5000 La
0.8266 0.5983 0.1870 La
0.9187 0.9187 0.6994 La
0.5000 0.5000 0.5000 Er
```

Results
Energy above the lowest structure with this stoichiometry   7 meV per atom
Magnetization   0.0 μB per cell
ΔE_f   0.126 eV/atom

***

# 17
## LaY2Ni (PBE)

Data for LaY2Ni after structural relaxation.

Structure (POSCAR):
```
LaY2Ni
1.0
-1.8307 2.7394 5.4460
1.8307 -2.7394 5.4460
1.8307 2.7394 -5.4460
La Y Ni
1 2 1
direct
0.0000 0.0000 0.0000 La
0.3876 0.3876 0.0000 Y
0.6939 0.1939 0.5000 Y
0.1967 0.6967 0.5000 Ni
```

Results
Energy above the lowest structure with this stoichiometry   106 meV per atom
Magnetization   0.0 μB per cell
ΔE_f   -0.111 eV/atom

***

# 18
## LuPaNi (PBE)

Data for LuPaNi after structural relaxation.

Structure (POSCAR):
```
LuPaNi
1.0
-1.6963 1.6963 5.6677
1.6963 -1.6963 5.6677
1.6963 1.6963 -5.6677
Lu Pa Ni
1 1 1
direct
0.0000 0.0000 0.0000 Lu
0.2868 0.2868 0.0000 Pa
0.6676 0.6676 0.0000 Ni
```

Results
Magnetization   0.0 μB per cell
ΔE_f   -0.134 eV/atom

***

# 19
## TaP4Ru (PBE)

Data for TaP4Ru after structural relaxation.

Structure (POSCAR):
```
TaP4Ru
1.0
0.0000 3.4823 3.4823
3.4823 0.0000 3.4823
3.4823 3.4823 0.0000
Ta P Ru
1 4 1
direct
0.0000 0.0000 0.0000 Ta
0.1246 0.6251 0.6251 P
0.6251 0.1246 0.6251 P
0.6251 0.6251 0.1246 P
0.6251 0.6251 0.6251 P
0.2500 0.2500 0.2500 Ru
```

Results
Magnetization   0.0 μB per cell
ΔE_f   0.585 eV/atom

***

# 20
## La3Pm6Sm2Mg (PBE)

Data for La3Pm6Sm2Mg after structural relaxation.

Structure (POSCAR):
```
La3Pm6Sm2Mg
1.0
3.1479 -5.4596 0.0000
3.1479 5.4596 0.0000
-2.1152 0.0000 11.8640
La Pm Sm Mg
3 6 2 1
direct
0.0000 0.0000 0.0000 La
0.3321 0.6679 0.0000 La
0.6679 0.3321 0.0000 La
0.0885 0.4191 0.2553 Pm
0.2509 0.2509 0.7460 Pm
0.4191 0.0885 0.2553 Pm
0.5809 0.9115 0.7447 Pm
0.7491 0.7491 0.2540 Pm
0.9115 0.5809 0.7447 Pm
0.1668 0.8332 0.5000 Sm
0.8332 0.1668 0.5000 Sm
0.5000 0.5000 0.5000 Mg
```

Results
Magnetization   0.0 μB per cell
ΔE_f   0.023 eV/atom

***

# 21
## Na3H6Ir (PBE)

Data for Na3H6Ir after structural relaxation.

Structure (POSCAR):
```
Na3H6Ir
1.0
4.5939 -2.6524 0.0000
4.5939 2.6524 0.0000
-3.0992 0.0000 4.3860
Na H Ir
3 6 1
direct
0.0000 0.0000 0.0000 Na
0.2478 0.2478 0.7446 Na
0.7522 0.7522 0.2554 Na
0.2403 0.6848 0.6778 H
0.2830 0.2830 0.2135 H
0.3152 0.7597 0.3222 H
0.6848 0.2403 0.6778 H
0.7170 0.7170 0.7865 H
0.7597 0.3152 0.3222 H
0.5000 0.5000 0.5000 Ir
```

Results
Energy above the lowest structure with this stoichiometry   27 meV per atom
Magnetization   0.1 μB per cell

***

# 22
## CsNaTl3 (PBE)

Data for CsNaTl3 after structural relaxation.

Structure (POSCAR):
```
CsNaTl3
1.0
8.0406 0.0000 0.0000
-4.0203 6.9634 0.0000
0.0000 0.0000 6.9525
Cs Na Tl
2 2 6
direct
0.3333 0.6667 0.2500 Cs
0.6667 0.3333 0.7500 Cs
0.0000 0.0000 0.0000 Na
0.0000 0.0000 0.5000 Na
0.1955 0.3910 0.7500 Tl
0.1955 0.8045 0.7500 Tl
0.3910 0.1955 0.2500 Tl
0.6090 0.8045 0.7500 Tl
0.8045 0.1955 0.2500 Tl
0.8045 0.6090 0.2500 Tl
```

Results
Energy above the lowest structure with this stoichiometry   124 meV per atom
Magnetization   0.0 μB per cell
ΔE_f   0.043 eV/atom

***

# 23
## CdSi2Pb2 (PBE)

Data for CdSi2Pb2 after structural relaxation.

Structure (POSCAR):
```
CdSi2Pb2
1.0
7.0917 0.0000 0.0000
0.0000 7.0917 0.0000
0.0000 0.0000 4.8538
Cd Si Pb
2 4 4
direct
0.0000 0.0000 0.0000 Cd
0.5000 0.5000 0.0000 Cd
0.1181 0.3819 0.0000 Si
0.3819 0.8819 0.0000 Si
0.6181 0.1181 0.0000 Si
0.8819 0.6181 0.0000 Si
0.1881 0.6881 0.5000 Pb
0.3119 0.1881 0.5000 Pb
0.6881 0.8119 0.5000 Pb
0.8119 0.3119 0.5000 Pb
```

Results
ΔE_f (raw)   0.290 eV per atom
Energy above the lowest structure with this stoichiometry   0 meV per atom
Magnetization   0.0 μB per cell